Entry from Alexandria via LeMat-Bulk: a relaxed TbGdGaNi crystal (GGA-PBE).

Results
N(E_F) ... 3.5 states/eV per cell
Calculated formation energy ... -0.426 eV per atom

a = 4.9741 Å, b = 4.9741 Å, c = 4.9741 Å
α = 60.00°, β = 60.00°, γ = 60.00°
With the nearest neighbours (Å) after each atom.
Fractional coordinates of all 4 atoms:
Tb 0.0000 0.0000 0.0000  4 Ga 3.05, 4 Ni 3.05
Ni 0.2500 0.2500 0.2500  4 Gd 3.05, 4 Tb 3.05
Ga 0.7500 0.7500 0.7500  4 Tb 3.05, 4 Gd 3.05
Gd 0.5000 0.5000 0.5000  4 Ni 3.05, 4 Ga 3.05